PmBeO3 | meta-GGA SCAN | PBEsol geometry

```
PmBeO3
1.0
3.5934 0.0000 0.0000
0.0000 3.5934 0.0000
0.0000 0.0000 3.5934
O Pm Be
3 1 1
direct
0.5000 0.0000 0.5000 O
0.0000 0.5000 0.5000 O
0.5000 0.5000 0.0000 O
0.0000 0.0000 0.0000 Pm
0.5000 0.5000 0.5000 Be
```

Density   7.23 Mg/m³
Electronic total energy   -80.80 eV per cell
Formation energy without anion corrections   -2.7533 eV/atom


Cd2Pd2Au | meta-GGA SCAN | PBEsol geometry

```
Cd2Pd2Au
1.0
3.6524 0.0000 0.0000
0.0000 6.9688 0.0000
0.0000 0.0000 6.9688
Cd Pd Au
4 4 2
direct
0.5000 0.8355 0.3355 Cd
0.5000 0.6645 0.8355 Cd
0.5000 0.3355 0.1645 Cd
0.5000 0.1645 0.6645 Cd
0.0000 0.8644 0.6356 Pd
0.0000 0.1356 0.3644 Pd
0.0000 0.3644 0.8644 Pd
0.0000 0.6356 0.1356 Pd
0.0000 0.0000 0.0000 Au
0.0000 0.5000 0.5000 Au
```

Density   11.88 Mg/m³
Electronic total energy   -393.96 eV per cell
Formation energy   -0.2891 eV per atom


Ba2SrCd | meta-GGA SCAN | PBEsol geometry

```
Ba2SrCd
1.0
4.2156 0.0000 0.0000
0.0000 4.2156 0.0000
0.0000 0.0000 10.3035
Ba Cd Sr
2 1 1
direct
0.0000 0.0000 0.6900 Ba
0.0000 0.0000 0.3100 Ba
0.5000 0.5000 0.5000 Cd
0.5000 0.5000 0.0000 Sr
```

Density   4.30 Mg/m³
Electronic total energy   -132.58 eV per cell
Formation energy   -0.1987 eV per atom


Among the records above, which one has the lowest electronic total energy? Cd2Pd2Au


What is the density in the first record? 7.23 Mg/m³


density of number 3 (Ba2SrCd)? 4.30 Mg/m³


Which of these has the highest density? Cd2Pd2Au